1.
A PBEsol-optimized structure of FeHgPb. Source: Alexandria, functional SCAN.

magnetic moment = 10.99 μB/cell
calculated density = 11.9 g/cm3
formation energy from the elements = 1.06 eV/f.u.

abc: 6.3685 6.3685 6.3685
angles: 90.00 90.00 90.00
Last column: nearest neighbours and their distance in Å.
Space group F-43m (No. 216)
Asymmetric unit:
Fe (0.0000, 0.0000, 0.0000) x4  4 Hg 2.76, 4 Pb 2.76
Hg (0.2500, 0.2500, 0.7500) x4  4 Fe 2.76
Pb (0.2500, 0.2500, 0.2500) x4  4 Fe 2.76

***

2.
A PBEsol-optimized structure of Fe2HgPb. Source: Alexandria, functional SCAN.

magnetic moment = 5.53 μB/cell
calculated density = 13.1 g/cm3
formation energy from the elements = 2.46 eV/f.u.

abc: 4.5094 4.5094 3.2392
angles: 90.00 90.00 90.00
Last column: nearest neighbours and their distance in Å.
Space group P4/mmm (No. 123)
Asymmetric unit:
Fe (0.0000, 0.5000, 0.0000) x2  4 Hg 2.78, 4 Pb 2.78
Hg (0.0000, 0.0000, 0.5000) x1  8 Fe 2.78
Pb (0.5000, 0.5000, 0.5000) x1  8 Fe 2.78

***

3.
A PBEsol-optimized structure of FeHgPt2. Source: Alexandria, functional SCAN.

magnetic moment = 7.43 μB/cell
calculated density = 17.4 g/cm3
formation energy from the elements = -0.02 eV/f.u.

abc: 3.9036 3.9036 8.0890
angles: 90.00 90.00 90.00
Last column: nearest neighbours and their distance in Å.
Space group I-4m2 (No. 119)
Asymmetric unit:
Fe (0.0000, 0.0000, 0.0000) x2  8 Pt 2.76-2.81, 4 Hg 2.81
Hg (0.0000, 0.5000, 0.2500) x2  8 Pt 2.76-2.81, 4 Fe 2.81
Pt (0.0000, 0.0000, 0.5000) x2  4 Fe 2.76, 4 Hg 2.81, 4 Pt 2.81
Pt (0.0000, 0.5000, 0.7500) x2  4 Hg 2.76, 4 Fe 2.81, 4 Pt 2.81

***

4.
A PBEsol-optimized structure of FeHgPt2. Source: Alexandria, functional SCAN.

magnetic moment = 8.02 μB/cell
calculated density = 17.5 g/cm3
formation energy from the elements = -0.44 eV/f.u.

abc: 3.9832 3.9832 7.7502
angles: 90.00 90.00 90.00
Last column: nearest neighbours and their distance in Å.
Space group I4/mmm (No. 139)
Asymmetric unit:
Fe (0.0000, 0.0000, 0.0000) x2  8 Pt 2.78, 4 Hg 2.82
Hg (0.0000, 0.0000, 0.5000) x2  8 Pt 2.78, 4 Fe 2.82
Pt (0.0000, 0.5000, 0.2500) x4  4 Hg 2.78, 4 Fe 2.78, 4 Pt 2.82

***

5.
A PBEsol-optimized structure of FeHg3Pt. Source: Alexandria, functional SCAN.

magnetic moment = 3.38 μB/cell
calculated density = 12.5 g/cm3
formation energy from the elements = 4.56 eV/f.u.

abc: 4.8359 4.8359 4.8359
angles: 90.00 90.00 90.00
Last column: nearest neighbours and their distance in Å.
Space group Pm-3m (No. 221)
Asymmetric unit:
Fe (0.0000, 0.0000, 0.0000) x1  6 Hg 2.42
Hg (0.0000, 0.0000, 0.5000) x3  2 Fe 2.42
Pt (0.5000, 0.5000, 0.5000) x1  12 Hg 3.42

***

6.
A PBEsol-optimized structure of FeHgPt2. Source: Alexandria, functional SCAN.

magnetic moment = 14.05 μB/cell
calculated density = 17.3 g/cm3
formation energy from the elements = 0.25 eV/f.u.

abc: 6.2845 6.2845 6.2845
angles: 90.00 90.00 90.00
Last column: nearest neighbours and their distance in Å.
Space group F-43m (No. 216)
Asymmetric unit:
Fe (0.0000, 0.0000, 0.0000) x4  4 Hg 2.72, 4 Pt 2.72
Hg (0.2500, 0.2500, 0.2500) x4  4 Fe 2.72, 4 Pt 2.72
Pt (0.0000, 0.0000, 0.5000) x4  4 Hg 2.72, 4 Pt 2.72
Pt (0.2500, 0.2500, 0.7500) x4  4 Fe 2.72, 4 Pt 2.72

***

7.
A PBEsol-optimized structure of FeTcHgPt2. Source: Alexandria, functional SCAN.

magnetic moment = 7.21 μB/cell
calculated density = 12.8 g/cm3
formation energy from the elements = 5.68 eV/f.u.

abc: 4.5288 4.5288 4.7001
angles: 90.00 90.00 90.00
Last column: nearest neighbours and their distance in Å.
Space group P4/mmm (No. 123)
Asymmetric unit:
Fe (0.0000, 0.0000, 0.0000) x1  4 Pt 2.26, 2 Hg 2.35
Tc (0.5000, 0.5000, 0.5000) x1  4 Hg 3.20, 8 Pt 3.26
Hg (0.0000, 0.0000, 0.5000) x1  2 Fe 2.35
Pt (0.0000, 0.5000, 0.0000) x2  2 Fe 2.26

***

8.
A PBEsol-optimized structure of Rb3FeHg. Source: Alexandria, functional SCAN.

magnetic moment = 3.69 μB/cell
calculated density = 2.9 g/cm3
formation energy from the elements = 3.55 eV/f.u.

abc: 6.6414 6.6414 6.6414
angles: 90.00 90.00 90.00
Last column: nearest neighbours and their distance in Å.
Space group Pm-3m (No. 221)
Asymmetric unit:
Rb (0.0000, 0.0000, 0.5000) x3  2 Hg 3.32
Fe (0.5000, 0.5000, 0.5000) x1  12 Rb 4.70
Hg (0.0000, 0.0000, 0.0000) x1  6 Rb 3.32

***

9.
A PBEsol-optimized structure of RbZrFeHg2. Source: Alexandria, functional SCAN.

magnetic moment = 0.88 μB/cell
calculated density = 7.1 g/cm3
formation energy from the elements = 2.45 eV/f.u.

abc: 5.6790 5.6790 4.5965
angles: 90.00 90.00 90.00
Last column: nearest neighbours and their distance in Å.
Space group P4/mmm (No. 123)
Asymmetric unit:
Rb (0.0000, 0.0000, 0.0000) x1  8 Hg 3.65, 4 Fe 4.02
Zr (0.5000, 0.5000, 0.5000) x1  2 Fe 2.30
Fe (0.5000, 0.5000, 0.0000) x1  2 Zr 2.30
Hg (0.0000, 0.5000, 0.5000) x2  2 Zr 2.84

***

10.
A PBEsol-optimized structure of Fe2ReHg. Source: Alexandria, functional SCAN.

magnetic moment = 4.97 μB/cell
calculated density = 14.7 g/cm3
formation energy from the elements = 1.29 eV/f.u.

abc: 2.8260 2.8260 7.0618
angles: 90.00 90.00 90.00
Last column: nearest neighbours and their distance in Å.
Space group P4mm (No. 99)
Asymmetric unit:
Fe (0.0000, 0.0000, 0.0000) x1  4 Fe 2.44, 4 Re 2.49
Fe (0.5000, 0.5000, 0.1983) x1  4 Fe 2.44
Re (0.5000, 0.5000, 0.7904) x1  4 Fe 2.49
Hg (0.0000, 0.0000, 0.4778) x1  4 Fe 2.81, 4 Hg 2.83, 4 Re 2.98

***

11.
A PBEsol-optimized structure of Fe2ReHg. Source: Alexandria, functional SCAN.

magnetic moment = 10.20 μB/cell
calculated density = 15.4 g/cm3
formation energy from the elements = 2.36 eV/f.u.

abc: 3.8946 3.8946 7.0842
angles: 90.00 90.00 90.00
Last column: nearest neighbours and their distance in Å.
Space group I4/mmm (No. 139)
Asymmetric unit:
Fe (0.0000, 0.5000, 0.2500) x4  4 Hg 2.63, 4 Re 2.63, 4 Fe 2.75
Re (0.0000, 0.0000, 0.0000) x2  8 Fe 2.63, 4 Hg 2.75
Hg (0.0000, 0.0000, 0.5000) x2  8 Fe 2.63, 4 Re 2.75

***

12.
A PBEsol-optimized structure of Fe2Hg2Rh. Source: Alexandria, functional SCAN.

magnetic moment = 13.78 μB/cell
calculated density = 11.9 g/cm3
formation energy from the elements = 3.69 eV/f.u.

abc: 3.8518 3.8518 11.5549
angles: 90.00 90.00 90.00
Last column: nearest neighbours and their distance in Å.
Space group I4/mmm (No. 139)
Asymmetric unit:
Fe (0.0000, 0.0000, 0.0881) x4  1 Fe 2.04
Hg (0.0000, 0.5000, 0.2500) x4  4 Fe 2.68, 4 Hg 2.72
Rh (0.0000, 0.0000, 0.5000) x2  8 Fe 2.91

***

13.
A PBEsol-optimized structure of ScFe2Hg. Source: Alexandria, functional SCAN.

magnetic moment = 3.83 μB/cell
calculated density = 10.0 g/cm3
formation energy from the elements = 0.15 eV/f.u.

abc: 3.9830 3.9830 3.7345
angles: 90.00 90.00 90.00
Last column: nearest neighbours and their distance in Å.
Space group P4/mmm (No. 123)
Asymmetric unit:
Sc (0.0000, 0.0000, 0.0000) x1  8 Fe 2.73, 4 Hg 2.82
Fe (0.0000, 0.5000, 0.5000) x2  4 Hg 2.73, 4 Sc 2.73, 4 Fe 2.82
Hg (0.5000, 0.5000, 0.0000) x1  8 Fe 2.73, 4 Sc 2.82

***

14.
A PBEsol-optimized structure of ScFe2Hg. Source: Alexandria, functional SCAN.

magnetic moment = 8.62 μB/cell
calculated density = 9.7 g/cm3
formation energy from the elements = -0.08 eV/f.u.

abc: 3.3468 4.2835 8.5302
angles: 90.00 90.00 90.00
Last column: nearest neighbours and their distance in Å.
Space group Imm2 (No. 44)
Asymmetric unit:
Sc (0.0000, 0.0000, 0.0000) x2  8 Fe 2.73-2.92, 4 Hg 2.88
Fe (0.0000, 0.0000, 0.4645) x2  2 Fe 2.37
Fe (0.0000, 0.5000, 0.7672) x2  2 Fe 2.37
Hg (0.0000, 0.5000, 0.2252) x2  8 Fe 2.74-2.96, 4 Sc 2.88

***

15.
A PBEsol-optimized structure of ScFe2Hg. Source: Alexandria, functional SCAN.

magnetic moment = 4.84 μB/cell
calculated density = 9.5 g/cm3
formation energy from the elements = -0.41 eV/f.u.

abc: 3.0837 3.0837 6.5596
angles: 90.00 90.00 90.00
Last column: nearest neighbours and their distance in Å.
Space group P4mm (No. 99)
Asymmetric unit:
Sc (0.0000, 0.0000, 0.0000) x1  5 Fe 2.73-2.76, 4 Hg 3.01
Fe (0.0000, 0.0000, 0.4205) x1  4 Fe 2.45
Fe (0.5000, 0.5000, 0.2505) x1  4 Fe 2.45, 4 Sc 2.73
Hg (0.5000, 0.5000, 0.6830) x1  5 Fe 2.78-2.84, 4 Sc 3.01, 4 Hg 3.08